# 1
Here is crystalline AlZnFeTc at its relaxed geometry from OQMD via LeMat-Bulk. Energies are from PBE.

The structure in CIF format:
```
data_AlZnFeTc
_cell_length_a 5.984
_cell_length_b 5.984
_cell_length_c 5.984
_cell_angle_alpha 90.00
_cell_angle_beta 90.00
_cell_angle_gamma 90.00
_space_group_name_H-M_alt 'F -4 3 m'
_space_group_IT_number 216
_space_group_name_Hall 'F -4 2 3'
loop_
_atom_site_label
_atom_site_fract_x
_atom_site_fract_y
_atom_site_fract_z
Al1 0.000 0.000 0.000
Zn1 0.250 0.250 0.750
Fe1 0.250 0.250 0.250
Tc1 0.000 0.000 0.500
```

Values from the calculation:
* total DFT energy (no corrections): -5.946 eV/atom
* relative energy among the computed polymorphs: 0.000 eV/atom

# 2
Here is crystalline AlZnFeTc at its relaxed geometry from OQMD via LeMat-Bulk. Energies are from PBE.

The structure in CIF format:
```
data_AlZnFeTc
_cell_length_a 5.996
_cell_length_b 5.996
_cell_length_c 5.996
_cell_angle_alpha 90.00
_cell_angle_beta 90.00
_cell_angle_gamma 90.00
_space_group_name_H-M_alt 'F -4 3 m'
_space_group_IT_number 216
_space_group_name_Hall 'F -4 2 3'
loop_
_atom_site_label
_atom_site_fract_x
_atom_site_fract_y
_atom_site_fract_z
Al1 0.000 0.000 0.000
Zn1 0.000 0.000 0.500
Fe1 0.250 0.250 0.250
Tc1 0.250 0.250 0.750
```

Values from the calculation:
* total DFT energy (no corrections): -5.936 eV/atom
* relative energy among the computed polymorphs: 0.011 eV/atom

# 3
Here is crystalline AlFeTe at its relaxed geometry from OQMD via LeMat-Bulk. Energies are from PBE.

The structure in CIF format:
```
data_AlFeTe
_cell_length_a 5.911
_cell_length_b 5.911
_cell_length_c 5.911
_cell_angle_alpha 90.00
_cell_angle_beta 90.00
_cell_angle_gamma 90.00
_space_group_name_H-M_alt 'F -4 3 m'
_space_group_IT_number 216
_space_group_name_Hall 'F -4 2 3'
loop_
_atom_site_label
_atom_site_fract_x
_atom_site_fract_y
_atom_site_fract_z
Al1 0.000 0.000 0.000
Fe1 0.250 0.250 0.250
Te1 0.000 0.000 0.500
```

Values from the calculation:
* total DFT energy (no corrections): -5.064 eV/atom
* relative energy among the computed polymorphs: 0.000 eV/atom